--- 1 ---
DFT (GGA-PBE) results for crystalline Pm5Hg2Ru at its relaxed geometry.

The structure belongs to space group Cm (No. 8); the cell edges are 7.857, 10.844 and 6.698 Å and the angles 90.00°, 125.91° and 90.00°. The asymmetric unit holds Pm at (0.000, 0.000, 0.000), Pm at (0.003, 0.000, 0.496), Pm at (0.247, 0.248, 0.493), Pm at (0.495, 0.000, 0.988), Hg at (0.243, 0.250, 0.993) and Ru at (0.352, 0.000, 0.494).

The value obtained for the density of states at the Fermi level is 0.67 states/eV per atom. The value obtained for the magnetization is 0.0 Bohr magnetons per cell. Its theoretical density is 8818 kg/m³.


--- 2 ---
DFT (GGA-PBE) results for crystalline Pm5Hg2Ru at its relaxed geometry.

The structure belongs to space group Pbam (No. 55); the cell edges are 7.890, 12.047 and 4.844 Å and the angles 90.00°, 90.00° and 90.00°. The asymmetric unit holds Pm at (0.000, 0.000, 0.000), Pm at (0.146, 0.298, 0.000), Pm at (0.181, 0.576, 0.500), Hg at (0.072, 0.834, 0.500) and Ru at (0.000, 0.500, 0.000).

The value obtained for the density of states at the Fermi level is 1.15 states/eV per atom. The value obtained for the magnetization is 0.0 Bohr magnetons per cell. Its theoretical density is 8852 kg/m³.


Q: Which of them is the most stable? A: 2.


--- 1 ---
DFT (GGA-PBE) results for crystalline Pm2HgRu at its relaxed geometry.

The structure belongs to space group R3m (No. 160, hexagonal axes); the cell edges are 4.1124, 4.1124 and 23.0746 Å and the angles 90.00°, 90.00° and 120.00°. The asymmetric unit holds Pm at (0.0000, 0.0000, 0.0000), Pm at (0.0000, 0.0000, 0.2027), Hg at (0.0000, 0.0000, 0.4357) and Ru at (0.0000, 0.0000, 0.6001).

The value obtained for the density of states at the Fermi level is 0.44 states/eV per atom. The value obtained for the magnetization is 0.0 Bohr magnetons per cell. Its theoretical density is 8721 kg/m³.


--- 2 ---
DFT (GGA-PBE) results for crystalline Pm2HgRu at its relaxed geometry.

The structure belongs to space group P4/mmm (No. 123); the cell edges are 3.557, 3.557 and 7.759 Å and the angles 90.00°, 90.00° and 90.00°. The asymmetric unit holds Pm at (0.000, 0.000, 0.220), Hg at (0.500, 0.500, 0.500) and Ru at (0.500, 0.500, 0.000).

The value obtained for the density of states at the Fermi level is 0.92 states/eV per atom. The value obtained for the magnetization is 0.0 Bohr magnetons per cell. Its theoretical density is 10006 kg/m³.


--- 3 ---
DFT (GGA-PBE) results for crystalline Pm2HgRu at its relaxed geometry.

The structure belongs to space group Fm-3m (No. 225); the cell edges are 7.294, 7.294 and 7.294 Å and the angles 90.00°, 90.00° and 90.00°. The asymmetric unit holds Pm at (0.250, 0.250, 0.250), Hg at (0.000, 0.000, 0.000) and Ru at (0.000, 0.000, 0.500).

The value obtained for the density of states at the Fermi level is 0.74 states/eV per atom. The value obtained for the magnetization is 0.0 Bohr magnetons per cell. Its theoretical density is 10126 kg/m³.


Q: Which of them is the most stable? A: 2.


--- 1 ---
DFT (GGA-PBE) results for crystalline Pm3Hg2Ru at its relaxed geometry.

The structure belongs to space group C2/m (No. 12); the cell edges are 16.598, 5.409 and 3.579 Å and the angles 90.00°, 90.08° and 90.00°. The asymmetric unit holds Pm at (0.000, 0.000, 0.000), Pm at (0.137, 0.500, 0.500), Hg at (0.195, 0.000, 0.999) and Ru at (0.000, 0.500, 0.000).

The value obtained for the density of states at the Fermi level is 0.60 states/eV per atom. The value obtained for the magnetization is 0.0 Bohr magnetons per cell. Its theoretical density is 9687 kg/m³.


--- 2 ---
DFT (GGA-PBE) results for crystalline Pm3Hg2Ru at its relaxed geometry.

The structure belongs to space group Cmmm (No. 65); the cell edges are 5.211, 15.425 and 7.627 Å and the angles 90.00°, 90.00° and 90.00°. The asymmetric unit holds Pm at (0.000, 0.000, 0.234), Pm at (0.000, 0.326, 0.225), Hg at (0.000, 0.165, 0.500), Hg at (0.000, 0.500, 0.000), Hg at (0.000, 0.500, 0.500) and Ru at (0.000, 0.165, 0.000).

The value obtained for the density of states at the Fermi level is 0.78 states/eV per atom. The value obtained for the magnetization is 0.0 Bohr magnetons per cell. Its theoretical density is 10155 kg/m³.


Q: Which of them is the most stable? A: 2.


--- 1 ---
DFT (GGA-PBE) results for crystalline PmTmHgRu at its relaxed geometry.

The structure belongs to space group P4mm (No. 99); the cell edges are 3.494, 3.494 and 7.592 Å and the angles 90.00°, 90.00° and 90.00°. The asymmetric unit holds Pm at (0.000, 0.000, 0.000), Tm at (0.000, 0.000, 0.560), Hg at (0.500, 0.500, 0.297) and Ru at (0.500, 0.500, 0.767).

The value obtained for the density of states at the Fermi level is 0.75 states/eV per atom. The value obtained for the magnetization is 0.0 Bohr magnetons per cell. Its theoretical density is 11032 kg/m³.


--- 2 ---
DFT (GGA-PBE) results for crystalline PmTmHgRu at its relaxed geometry.

The structure belongs to space group F-43m (No. 216); the cell edges are 7.161, 7.161 and 7.161 Å and the angles 90.00°, 90.00° and 90.00°. The asymmetric unit holds Pm at (0.000, 0.000, 0.000), Tm at (0.000, 0.000, 0.500), Hg at (0.250, 0.250, 0.250) and Ru at (0.250, 0.250, 0.750).

The value obtained for the density of states at the Fermi level is 0.94 states/eV per atom. The value obtained for the magnetization is 0.0 Bohr magnetons per cell. Its theoretical density is 11137 kg/m³.


Q: Which of them is the most stable? A: 1.


--- 1 ---
DFT (GGA-PBE) results for crystalline Pm2HgS at its relaxed geometry.

The structure belongs to space group R3m (No. 160, hexagonal axes); the cell edges are 3.9661, 3.9661 and 23.6300 Å and the angles 90.00°, 90.00° and 120.00°. The asymmetric unit holds Pm at (0.0000, 0.0000, 0.0000), Pm at (0.0000, 0.0000, 0.1944), Hg at (0.0000, 0.0000, 0.4307) and S at (0.0000, 0.0000, 0.5991).

The value obtained for the density of states at the Fermi level is 0.57 states/eV per atom. The value obtained for the magnetization is 0.0 Bohr magnetons per cell. Its theoretical density is 8088 kg/m³.


--- 2 ---
DFT (GGA-PBE) results for crystalline Pm2HgS at its relaxed geometry.

The structure belongs to space group R-3m (No. 166, hexagonal axes); the cell edges are 4.0300, 4.0300 and 22.8301 Å and the angles 90.00°, 90.00° and 120.00°. The asymmetric unit holds Pm at (0.0000, 0.0000, 0.2379), Hg at (0.0000, 0.0000, 0.0000) and S at (0.0000, 0.0000, 0.5000).

The value obtained for the density of states at the Fermi level is 0.47 states/eV per atom. The value obtained for the magnetization is 0.0 Bohr magnetons per cell. Its theoretical density is 8109 kg/m³.


Q: Which of them is the most stable? A: 2.


--- 1 ---
DFT (GGA-PBE) results for crystalline Pm3HgS at its relaxed geometry.

The structure belongs to space group Pnma (No. 62); the cell edges are 9.178, 3.997 and 15.483 Å and the angles 90.00°, 90.00° and 90.00°. The asymmetric unit holds Pm at (0.016, 0.250, 0.107), Pm at (0.162, 0.250, 0.531), Pm at (0.172, 0.750, 0.297), Hg at (0.109, 0.750, 0.691) and S at (0.175, 0.250, 0.951).

The value obtained for the density of states at the Fermi level is 0.83 states/eV per atom. The value obtained for the magnetization is 0.0 Bohr magnetons per cell. Its theoretical density is 7808 kg/m³.


--- 2 ---
DFT (GGA-PBE) results for crystalline Pm3HgS at its relaxed geometry.

The structure belongs to space group Pm-3m (No. 221); the cell edges are 5.331, 5.331 and 5.331 Å and the angles 90.00°, 90.00° and 90.00°. The asymmetric unit holds Pm at (0.000, 0.000, 0.500), Hg at (0.500, 0.500, 0.500) and S at (0.000, 0.000, 0.000).

The value obtained for the density of states at the Fermi level is 0.68 states/eV per atom. The value obtained for the magnetization is 0.0 Bohr magnetons per cell. Its theoretical density is 7318 kg/m³.


Q: Which of them is the most stable? A: 1.